A plane-wave DFT calculation with PBE-GGA was carried out for Tb4Nd2SmTm2 after structural relaxation.

Computed properties:
Crystal system: triclinic
Total magnetic moment in μB per atom: 0.000
Theoretical density in g cm⁻³: 8.0
Energy of formation from the pure elements in eV per atom: 0.0774

a b c (Å): 6.822 9.924 6.634
angles (deg): 121.21 126.84 59.31
Fractional positions:
Tb (0.379, 0.241, 0.491)
Tb (0.621, 0.759, 0.509)
Tb (0.263, 0.116, 0.800)
Tb (0.737, 0.884, 0.200)
Nd (0.732, 0.344, 0.401)
Nd (0.268, 0.656, 0.599)
Sm (0.000, 0.000, 0.000)
Tm (0.180, 0.554, 0.965)
Tm (0.820, 0.446, 0.035)

=====

A plane-wave DFT calculation with PBE-GGA was carried out for MgIrI2N after structural relaxation.

Computed properties:
Raw formation energy in eV/atom: 1.2036
Crystal system: tetragonal
Total magnetic moment in μB per atom: 0.434
Theoretical density in g cm⁻³: 6.8

a b c (Å): 5.527 5.527 3.868
angles (deg): 90.00 90.00 90.00
Each line ends with the local moment (μB).
Fractional positions:
Mg (0.000, 0.000, 0.000)  -0.01
Ir (0.500, 0.500, 0.500)  0.28
N (0.000, 0.000, 0.500)  1.09
I (0.500, 0.000, 0.000)  0.07
I (0.000, 0.500, 0.000)  0.07

=====

A plane-wave DFT calculation with PBE-GGA was carried out for NbVTe2N after structural relaxation.

Computed properties:
Raw formation energy in eV/atom: 0.3769
Crystal system: tetragonal
Total magnetic moment in μB per atom: 0.636
Theoretical density in g cm⁻³: 5.7

a b c (Å): 5.562 5.562 3.876
angles (deg): 90.00 90.00 90.00
Each line ends with the local moment (μB).
Fractional positions:
Te (0.000, 0.500, 0.000)  -0.14
Te (0.500, 0.000, 0.000)  -0.14
V (0.500, 0.500, 0.500)  2.88
N (0.000, 0.000, 0.500)  -0.05
Nb (0.000, 0.000, 0.000)  0.17

=====

A plane-wave DFT calculation with PBE-GGA was carried out for Li2TaIn after structural relaxation.

Computed properties:
Crystal system: orthorhombic
Total magnetic moment in μB per atom: 0.000
Theoretical density in g cm⁻³: 6.7
Energy of formation from the pure elements in eV per atom: 0.2693

a b c (Å): 6.038 6.038 6.038
angles (deg): 153.19 129.26 58.31
Fractional positions:
Li (0.990, 0.990, 0.000)
Li (0.510, 0.510, 0.000)
In (0.750, 0.250, 0.500)
Ta (0.250, 0.750, 0.500)

=====

A plane-wave DFT calculation with PBE-GGA was carried out for Ho2ReRu3 after structural relaxation.

Computed properties:
Crystal system: hexagonal
Total magnetic moment in μB per atom: 0.000
Theoretical density in g cm⁻³: 12.6
Energy of formation from the pure elements in eV per atom: -0.3235

a b c (Å): 5.491 5.491 8.250
angles (deg): 90.00 90.00 120.00
Fractional positions:
Ho (0.667, 0.333, 0.061)
Ho (0.333, 0.667, 0.561)
Ho (0.667, 0.333, 0.439)
Ho (0.333, 0.667, 0.939)
Ru (0.829, 0.171, 0.750)
Ru (0.342, 0.171, 0.750)
Ru (0.171, 0.342, 0.250)
Ru (0.171, 0.829, 0.250)
Ru (0.658, 0.829, 0.250)
Ru (0.829, 0.658, 0.750)
Re (0.000, 0.000, 0.000)
Re (0.000, 0.000, 0.500)

=====

- Which of these has the lowest theoretical density?
  NbVTe2N

=====

- Among the records above, which one has the lowest theoretical density?
  NbVTe2N

=====

Copy entry 3 word for word.
A plane-wave DFT calculation with PBE-GGA was carried out for NbVTe2N after structural relaxation.

Computed properties:
Raw formation energy in eV/atom: 0.3769
Crystal system: tetragonal
Total magnetic moment in μB per atom: 0.636
Theoretical density in g cm⁻³: 5.7

a b c (Å): 5.562 5.562 3.876
angles (deg): 90.00 90.00 90.00
Each line ends with the local moment (μB).
Fractional positions:
Te (0.000, 0.500, 0.000)  -0.14
Te (0.500, 0.000, 0.000)  -0.14
V (0.500, 0.500, 0.500)  2.88
N (0.000, 0.000, 0.500)  -0.05
Nb (0.000, 0.000, 0.000)  0.17